No. 1
Pr3AlPd4 (GGA-PBE, relaxed); size of the total moment = 0.0 μB per formula unit; density = 7.34 g cm⁻³; energy of formation = -0.68 eV/atom; E = -0.4073 Ry per atom
1.0
-0.2489 -0.2396 -4.1966
4.3747 -4.6986 0.0088
-7.4069 -2.5053 2.6948
Pr Pd Al
3 4 1
Direct
0.8090 0.8090 0.6181
0.1910 0.1910 0.3819
0.0000 0.5000 0.0000
0.3830 0.1686 0.7660
0.6170 0.4026 0.2340
0.6170 0.8314 0.2340
0.3830 0.5974 0.7660
0.5000 0.0000 0.0000

---

No. 2
Ce2Er2Si4Ir (GGA-PBE, relaxed); size of the total moment = 0.6 μB per formula unit; density = 7.61 g cm⁻³; E = -0.4491 Ry per atom; uncorrected formation energy = -0.3826 eV/atom
1.0
6.3918 0.3075 0.4438
-2.7984 5.7549 -0.4438
-2.7984 -2.4374 5.2321
Er Ir Si Ce
2 1 4 2
Direct
0.5000 0.2500 0.7500
0.5000 0.7500 0.2500
0.0000 0.0000 0.0000
0.0000 0.7583 0.2417
0.4833 0.2417 0.2417
0.0000 0.2417 0.7583
0.5167 0.7583 0.7583
0.0000 0.6694 0.6694
0.0000 0.3306 0.3306

---

No. 3
SrNiSn2Rh (GGA-PBE, relaxed); size of the total moment = 0.0 μB per formula unit; density = 7.05 g cm⁻³; energy of formation = -0.47 eV/atom; E = -0.3699 Ry per atom
1.0
-3.4998 -1.8533 2.2332
2.8305 -2.9521 1.9859
1.1163 5.9649 2.0716
Rh Ni Sn Sr
1 1 2 1
Direct
0.7500 0.2500 0.5000
0.2500 0.7500 0.5000
0.3629 0.3629 0.7259
0.6371 0.6371 0.2741
0.0000 0.0000 0.0000

---

No. 4
NdSm4Al (GGA-PBE, relaxed); size of the total moment = 0.0 μB per formula unit; density = 6.78 g cm⁻³; energy of formation = -0.04 eV/atom; E = -0.3381 Ry per atom; distance to the lowest polymorph of the same formula = 65 meV per atom
1.0
-1.5532 0.6616 -6.1336
-5.4830 -5.8825 4.2704
-0.8393 7.8862 2.6040
Sm Nd Al
8 2 2
Direct
0.0402 0.1680 0.7786
0.3699 0.9188 0.6360
0.6301 0.0812 0.3640
0.2338 0.2828 0.3640
0.9598 0.8320 0.2214
0.2383 0.6106 0.7786
0.7617 0.3894 0.2214
0.7662 0.7172 0.6360
0.3456 0.5956 0.1911
0.6544 0.4044 0.8089
0.2497 0.9997 0.9995
0.7503 0.0003 0.0005

---

No. 5
Ac6SiSe3S2 (GGA-PBE, relaxed); size of the total moment = 0.0 μB per formula unit; density = 7.53 g cm⁻³; E = -0.4272 Ry per atom; uncorrected formation energy = -1.7472 eV/atom
1.0
-2.9576 6.3954 2.9838
-2.8477 -6.8209 1.9794
6.7193 -0.2418 3.9175
Se S Ac Si
3 2 6 1
Direct
0.8341 0.1659 0.5000
0.5000 0.5000 0.5000
0.1659 0.8341 0.5000
0.3330 0.6670 0.0000
0.6670 0.3330 0.0000
0.7461 0.7461 0.2353
0.2539 0.2539 0.7647
0.4105 0.0785 0.2358
0.9215 0.5895 0.7642
0.5895 0.9215 0.7642
0.0785 0.4105 0.2358
0.0000 0.0000 0.0000

---

No. 6
Ce2Ge2Bi (GGA-PBE, relaxed); size of the total moment = 1.6 μB per formula unit; density = 8.19 g cm⁻³; energy of formation = -0.66 eV/atom; E = -0.4161 Ry per atom; distance to the lowest polymorph of the same formula = 0 meV per atom
1.0
4.1946 0.0000 0.0000
0.0000 3.9044 -1.1100
0.0000 0.1137 7.8218
Ce Ge Bi
2 2 1
Direct
0.5000 0.3665 0.7330
0.5000 0.6335 0.2670
0.0000 0.8013 0.6026
0.0000 0.1987 0.3974
0.0000 0.0000 0.0000